1.
Below is a relaxed structure of MgZnReMo, with properties calculated at the PBE level.

* symmetry: F-43m, No. 216
* electronic total energy: -25.51 eV for the cell shown
* Fermi-level density of states: 3.5 states/eV/f.u.
* formation energy from the elements: 0.6 eV per formula unit

Unit cell a=4.4284 b=4.4284 c=4.4284 alpha=60.00 beta=60.00 gamma=60.00
Sites, in units of the cell vectors:
1 Mg 0.0000 0.0000 0.0000
2 Re 0.5000 0.5000 0.5000
3 Mo 0.2500 0.2500 0.2500
4 Zn 0.7500 0.7500 0.7500

=====

2.
Below is a relaxed structure of Tb2PPd, with properties calculated at the PBE level.

* symmetry: R-3m, No. 166
* electronic total energy: -22.17 eV for the cell shown
* Fermi-level density of states: 3.0 states/eV/f.u.
* formation energy from the elements: -2.3 eV per formula unit

Unit cell a=3.7475 b=3.7475 c=8.8945 alpha=77.84 beta=77.84 gamma=60.00
Sites, in units of the cell vectors:
1 P 0.5000 0.5000 0.5000
2 Tb 0.1028 0.1028 0.6917
3 Tb 0.8972 0.8972 0.3083
4 Pd 0.0000 0.0000 0.0000

=====

3.
Below is a relaxed structure of TcAg2Ru, with properties calculated at the PBE level.

* symmetry: C2/m, No. 12
* electronic total energy: -23.11 eV for the cell shown
* Fermi-level density of states: 4.0 states/eV/f.u.
* formation energy from the elements: 2.2 eV per formula unit
* relative energy among the computed polymorphs: 0.327 eV per atom

Unit cell a=5.0874 b=5.0874 c=4.7155 alpha=80.87 beta=80.87 gamma=31.72
Last column: magnetic moment on the atom in μB.
Sites, in units of the cell vectors:
1 Ag 0.0000 0.0000 0.0001  0.01
2 Ag 0.5000 0.5000 0.4999  0.01
3 Ru 0.2500 0.2500 0.2500  0.51
4 Tc 0.7500 0.7500 0.7500  0.08

=====

4.
Below is a relaxed structure of TbY4Mg2, with properties calculated at the PBE level.

* symmetry: R-3m, No. 166
* electronic total energy: -33.19 eV for the cell shown
* Fermi-level density of states: 10.6 states/eV/f.u.
* formation energy from the elements: 0.5 eV per formula unit
* relative energy among the computed polymorphs: 0.099 eV per atom

Unit cell a=5.4612 b=5.4612 c=8.6998 alpha=71.71 beta=71.71 gamma=60.00
Sites, in units of the cell vectors:
1 Tb 0.5000 0.5000 0.5000
2 Y 0.7923 0.7923 0.6231
3 Y 0.9321 0.9321 0.2036
4 Y 0.2077 0.2077 0.3769
5 Y 0.0679 0.0679 0.7964
6 Mg 0.6490 0.6490 0.0529
7 Mg 0.3510 0.3510 0.9471

=====

5.
Below is a relaxed structure of MnZnRh2, with properties calculated at the PBE level.

* symmetry: P4mm, No. 99
* electronic total energy: -25.39 eV for the cell shown
* Fermi-level density of states: 4.6 states/eV/f.u.
* formation energy from the elements: -0.2 eV per formula unit

Unit cell a=2.7799 b=2.7799 c=7.3152 alpha=90.00 beta=90.00 gamma=90.00
Last column: magnetic moment on the atom in μB.
Sites, in units of the cell vectors:
1 Mn 0.5000 0.5000 0.7556  3.41
2 Rh 0.0000 0.0000 0.9951  -0.15
3 Rh 0.5000 0.5000 0.2532  -0.37
4 Zn 0.0000 0.0000 0.4961  -0.02

=====

6.
Below is a relaxed structure of Pr2Ga3CoNi12, with properties calculated at the PBE level.

* symmetry: R-3m, No. 166
* electronic total energy: -94.39 eV for the cell shown
* Fermi-level density of states: 18.4 states/eV/f.u.
* formation energy from the elements: 0.7 eV per formula unit

Unit cell a=9.1332 b=9.1332 c=9.1332 alpha=39.12 beta=39.12 gamma=39.12
Last column: magnetic moment on the atom in μB.
Sites, in units of the cell vectors:
1 Pr 0.6549 0.6549 0.6549  -0.05
2 Pr 0.3451 0.3451 0.3451  -0.05
3 Ga 0.5000 0.0000 0.0000  -0.01
4 Ga 0.0000 0.5000 0.0000  -0.01
5 Ga 0.0000 0.0000 0.5000  -0.01
6 Co 0.0000 0.0000 0.0000  1.58
7 Ni 0.4187 0.4187 0.8113  0.05
8 Ni 0.9333 0.9333 0.3453  0.27
9 Ni 0.3453 0.9333 0.9333  0.27
10 Ni 0.8113 0.4187 0.4187  0.05
11 Ni 0.9333 0.3453 0.9333  0.27
12 Ni 0.4187 0.8113 0.4187  0.05
13 Ni 0.5813 0.5813 0.1887  0.05
14 Ni 0.0667 0.0667 0.6547  0.27
15 Ni 0.6547 0.0667 0.0667  0.27
16 Ni 0.1887 0.5813 0.5813  0.05
17 Ni 0.0667 0.6547 0.0667  0.27
18 Ni 0.5813 0.1887 0.5813  0.05